1.
A relaxed structure of CrBi2IrO8, computed with PBE+U.

Calculated values
Total magnetization in Bohr magnetons per cell: 2.34
Crystal system: monoclinic
DFT total energy in eV per cell: -76.28

Unit cell a=4.867 b=6.635 c=4.915 alpha=90.00 beta=90.71 gamma=90.00
Space group P2/m (No. 10)
Asymmetric unit:
Cr 0.000 0.000 0.000 x1
Bi 0.500 0.248 0.500 x2
Ir 0.000 0.500 0.000 x1
O 0.200 0.257 0.853 x4
O 0.233 0.500 0.315 x2
O 0.272 0.000 0.311 x2

=====

2.
A relaxed structure of CrBiIrO6, computed with PBE+U.

Calculated values
Total magnetization in Bohr magnetons per cell: 3.57
Crystal system: tetragonal
DFT total energy in eV per cell: -120.25

Unit cell a=4.766 b=4.766 c=9.709 alpha=90.00 beta=90.00 gamma=90.00
Space group P4_2nm (No. 102)
Asymmetric unit:
Cr 0.000 0.000 0.000 x2
Bi 0.000 0.000 0.667 x2
Ir 0.000 0.000 0.334 x2
O 0.175 0.175 0.167 x4
O 0.198 0.198 0.486 x4
O 0.208 0.208 0.846 x4